#A
Here is a relaxed structure of NdHo2In2 from Alexandria via LeMat-Bulk. Energies are from PBE.

Properties
Its density of states at the Fermi level is 4.6 states/eV/f.u.

a = 3.778 Å, b = 5.416 Å, c = 14.075 Å
α = 90.00°, β = 97.72°, γ = 90.00°
Element x y z (fractional)
Nd1 0.147 0.250 0.296
Nd2 0.853 0.750 0.704
Ho1 0.049 0.750 0.097
Ho2 0.236 0.750 0.473
Ho3 0.764 0.250 0.527
Ho4 0.951 0.250 0.903
In1 0.357 0.250 0.713
In2 0.453 0.750 0.906
In3 0.547 0.250 0.094
In4 0.643 0.750 0.287



#B
Here is a relaxed structure of NdHo2In2 from Alexandria via LeMat-Bulk. Energies are from PBE.

Properties
Its density of states at the Fermi level is 6.0 states/eV/f.u.

a = 14.842 Å, b = 14.842 Å, c = 14.842 Å
α = 162.08°, β = 162.08°, γ = 25.45°
Element x y z (fractional)
Nd1 0.134 0.134 0.000
Nd2 0.866 0.866 0.000
Ho1 0.250 0.750 0.500
Ho2 0.427 0.427 0.000
Ho3 0.573 0.573 0.000
Ho4 0.750 0.250 0.500
In1 0.000 0.500 0.500
In2 0.325 0.325 0.000
In3 0.500 0.000 0.500
In4 0.675 0.675 0.000



Energies relative to the most stable structure are #A 0; #B 214, reported in meV/atom.